First-principles (PBE) data for a geometry-optimized ThAlNi structure, as listed in the Open Quantum Materials Database.

a = 4.6963 Å, b = 4.6963 Å, c = 4.6963 Å
α = 60.00°, β = 60.00°, γ = 60.00°
Last column: nearest neighbours and their distance in Å.
Fractional positions:
Th (0.0000, 0.0000, 0.0000)  4 Al 2.88, 4 Ni 2.88
Al (0.7500, 0.7500, 0.7500)  4 Th 2.88
Ni (0.2500, 0.2500, 0.2500)  4 Th 2.88

Summary:
calculated volume	73	Å³ per cell
raw total energy	-5.107	eV/atom
total moment	0.00	μB/cell

***

First-principles (PBE) data for a geometry-optimized Ni4P2Cl structure, as listed in the Open Quantum Materials Database.

a = 3.5927 Å, b = 3.5927 Å, c = 9.4289 Å
α = 90.00°, β = 90.00°, γ = 120.00°
Last column: nearest neighbours and their distance in Å.
Fractional positions:
Ni (0.0000, 0.0000, 0.0000)  1 P 2.18, 3 Cl 2.42
Ni (0.0000, 0.0000, 0.4672)  4 P 2.19-2.22
Ni (0.6667, 0.3333, 0.1538)  3 P 2.20
Ni (0.6667, 0.3333, 0.6292)  3 P 2.23, 1 Cl 2.25
P (0.0000, 0.0000, 0.2315)  5 Ni 2.18-2.22
P (0.3333, 0.6667, 0.5432)  6 Ni 2.19-2.23
Cl (0.6667, 0.3333, 0.8680)  4 Ni 2.25-2.42

Summary:
calculated volume	105	Å³ per cell
raw total energy	-5.233	eV/atom
total moment	0.03	μB/cell

***

First-principles (PBE) data for a geometry-optimized ZnTeNO structure, as listed in the Open Quantum Materials Database.

a = 4.8165 Å, b = 4.8165 Å, c = 5.2210 Å
α = 90.36°, β = 90.36°, γ = 86.00°
Last column: nearest neighbours and their distance in Å.
Fractional positions:
Zn (0.0000, 0.0000, 0.0000)  2 O 1.95, 1 N 2.05
Zn (0.5011, 0.5011, 0.8386)  2 O 1.95, 1 N 2.06
Te (0.0536, 0.5550, 0.4186)  2 N 2.11-2.12
Te (0.5550, 0.0536, 0.4186)  2 N 2.11-2.12
N (0.1212, 0.1212, 0.3583)  1 Zn 2.05, 2 Te 2.11
N (0.6188, 0.6188, 0.4794)  1 Zn 2.06, 2 Te 2.12
O (0.1130, 0.6128, 0.9172)  2 Zn 1.95
O (0.6128, 0.1130, 0.9172)  2 Zn 1.95

Summary:
calculated volume	121	Å³ per cell
polymorph energy (0 for the lowest one)	299	meV/atom

***

First-principles (PBE) data for a geometry-optimized NaZn2Sn2 structure, as listed in the Open Quantum Materials Database.

a = 6.8113 Å, b = 6.8113 Å, c = 6.8113 Å
α = 141.37°, β = 141.37°, γ = 55.77°
Last column: nearest neighbours and their distance in Å.
Fractional positions:
Na (0.0000, 0.0000, 0.0000)  8 Sn 3.49, 8 Zn 3.76
Zn (0.2500, 0.7500, 0.5000)  4 Sn 2.75
Zn (0.7500, 0.2500, 0.5000)  4 Sn 2.75
Sn (0.3816, 0.3816, 0.0000)  4 Zn 2.75, 1 Sn 2.85
Sn (0.6184, 0.6184, 0.0000)  4 Zn 2.75, 1 Sn 2.85

Summary:
calculated volume	122	Å³ per cell
raw total energy	-2.438	eV/atom

***

First-principles (PBE) data for a geometry-optimized Gd2Dy structure, as listed in the Open Quantum Materials Database.

a = 6.5620 Å, b = 6.5620 Å, c = 6.5620 Å
α = 60.00°, β = 60.00°, γ = 60.00°
Last column: nearest neighbours and their distance in Å.
Fractional positions:
Gd (0.0000, 0.0000, 0.0000)  6 Gd 3.28
Gd (0.0000, 0.0000, 0.5000)  6 Gd 3.28
Gd (0.0000, 0.5000, 0.0000)  6 Gd 3.28
Gd (0.5000, 0.0000, 0.0000)  6 Gd 3.28
Dy (0.3750, 0.3750, 0.3750)  12 Gd 3.85, 4 Dy 4.02
Dy (0.6250, 0.6250, 0.6250)  12 Gd 3.85, 4 Dy 4.02

Summary:
formation energy from the elements	263	meV per atom
calculated volume	200	Å³ per cell
polymorph energy (0 for the lowest one)	0	meV/atom
total moment	0.12	μB/cell

***

First-principles (PBE) data for a geometry-optimized NaFeTe3Au structure, as listed in the Open Quantum Materials Database.

a = 7.5268 Å, b = 7.5268 Å, c = 10.9751 Å
α = 90.00°, β = 90.00°, γ = 150.71°
Last column: nearest neighbours and their distance in Å.
Fractional positions:
Na (0.2489, 0.7511, 0.7500)  2 Au 2.99, 2 Te 3.33
Na (0.7511, 0.2489, 0.2500)  2 Au 2.99, 2 Te 3.33
Fe (0.5000, 0.5000, 0.0000)  6 Te 2.65-2.88
Fe (0.5000, 0.5000, 0.5000)  6 Te 2.65-2.88
Te (0.1262, 0.8738, 0.0112)  2 Fe 2.65, 1 Au 2.67
Te (0.1262, 0.8738, 0.4888)  2 Fe 2.65, 1 Au 2.67
Te (0.4391, 0.5609, 0.2500)  2 Fe 2.88, 2 Au 2.94
Te (0.5609, 0.4391, 0.7500)  2 Fe 2.88, 2 Au 2.94
Te (0.8738, 0.1262, 0.5112)  2 Fe 2.65, 1 Au 2.67
Te (0.8738, 0.1262, 0.9888)  2 Fe 2.65, 1 Au 2.67
Au (0.0928, 0.9072, 0.2500)  4 Te 2.67-2.94
Au (0.9072, 0.0928, 0.7500)  4 Te 2.67-2.94

Summary:
calculated volume	304	Å³ per cell
raw total energy	-3.876	eV/atom
total moment	4.48	μB/cell

***

First-principles (PBE) data for a geometry-optimized ZrOs structure, as listed in the Open Quantum Materials Database.

a = 3.2834 Å, b = 3.2834 Å, c = 3.2834 Å
α = 90.00°, β = 90.00°, γ = 90.00°
Last column: nearest neighbours and their distance in Å.
Fractional positions:
Zr (0.0000, 0.0000, 0.0000)  8 Os 2.84
Os (0.5000, 0.5000, 0.5000)  8 Zr 2.84

Summary:
formation energy from the elements	-528	meV per atom
calculated volume	35	Å³ per cell
total moment	0.00	μB/cell

***

First-principles (PBE) data for a geometry-optimized ZrTlFeCo structure, as listed in the Open Quantum Materials Database.

a = 4.4961 Å, b = 4.4961 Å, c = 4.4961 Å
α = 60.00°, β = 60.00°, γ = 60.00°
Last column: nearest neighbours and their distance in Å.
Fractional positions:
Zr (0.0000, 0.0000, 0.0000)  4 Fe 2.75, 4 Co 2.75
Tl (0.5000, 0.5000, 0.5000)  4 Co 2.75, 4 Fe 2.75
Fe (0.2500, 0.2500, 0.2500)  4 Tl 2.75, 4 Zr 2.75
Co (0.7500, 0.7500, 0.7500)  4 Tl 2.75, 4 Zr 2.75

Summary:
calculated volume	64	Å³ per cell
polymorph energy (0 for the lowest one)	0	meV/atom
total moment	2.03	μB/cell

***

First-principles (PBE) data for a geometry-optimized TbErPb2 structure, as listed in the Open Quantum Materials Database.

a = 4.4272 Å, b = 6.2391 Å, c = 6.2391 Å
α = 42.20°, β = 90.00°, γ = 90.00°
Last column: nearest neighbours and their distance in Å.
Fractional positions:
Tb (0.0000, 0.0000, 0.0000)  7 Pb 3.13-3.50
Er (0.5000, 0.7405, 0.7405)  7 Pb 3.13-3.50
Pb (0.0000, 0.2692, 0.2692)  3 Tb 3.13-3.50, 4 Er 3.17, 2 Pb 3.23
Pb (0.5000, 0.4714, 0.4714)  3 Er 3.13-3.50, 4 Tb 3.17, 2 Pb 3.23

Summary:
calculated volume	116	Å³ per cell
raw total energy	-4.615	eV/atom
total moment	0.00	μB/cell

***

First-principles (PBE) data for a geometry-optimized BaHfAu2 structure, as listed in the Open Quantum Materials Database.

a = 5.0211 Å, b = 5.0211 Å, c = 5.0211 Å
α = 60.00°, β = 60.00°, γ = 60.00°
Last column: nearest neighbours and their distance in Å.
Fractional positions:
Ba (0.0000, 0.0000, 0.0000)  4 Au 3.07, 4 Hf 3.07
Hf (0.2500, 0.2500, 0.2500)  4 Ba 3.07, 4 Au 3.07
Au (0.5000, 0.5000, 0.5000)  4 Hf 3.07, 4 Au 3.07
Au (0.7500, 0.7500, 0.7500)  4 Ba 3.07, 4 Au 3.07

Summary:
calculated volume	90	Å³ per cell
raw total energy	-4.475	eV/atom
total moment	0.00	μB/cell

***

First-principles (PBE) data for a geometry-optimized KDyO3 structure, as listed in the Open Quantum Materials Database.

a = 3.8654 Å, b = 3.8654 Å, c = 5.2964 Å
α = 90.00°, β = 90.00°, γ = 90.00°
Last column: nearest neighbours and their distance in Å.
Fractional positions:
K (0.0000, 0.0000, 0.0000)  5 O 2.23-2.39
Dy (0.5000, 0.5000, 0.4581)  4 O 2.19
O (0.0000, 0.0000, 0.5792)  1 K 2.23
O (0.0000, 0.5000, 0.2642)  2 Dy 2.19, 2 K 2.39
O (0.5000, 0.0000, 0.2642)  2 Dy 2.19, 2 K 2.39

Summary:
calculated volume	79	Å³ per cell
raw total energy	-5.543	eV/atom
total moment	2.02	μB/cell

***

First-principles (PBE) data for a geometry-optimized ZrNi structure, as listed in the Open Quantum Materials Database.

a = 4.0318 Å, b = 4.0318 Å, c = 6.5308 Å
α = 90.00°, β = 90.00°, γ = 120.00°
Last column: nearest neighbours and their distance in Å.
Fractional positions:
Zr (0.3333, 0.6667, 0.0000)  4 Ni 2.46-2.47
Zr (0.6667, 0.3333, 0.5000)  4 Ni 2.46-2.47
Ni (0.3333, 0.6667, 0.6219)  4 Zr 2.46-2.47
Ni (0.6667, 0.3333, 0.1219)  4 Zr 2.46-2.47

Summary:
formation energy from the elements	544	meV per atom
calculated volume	92	Å³ per cell
total moment	0.01	μB/cell